Compound: Sm3PtSeBr
Source: the Alexandria database
Functional: GGA-PBE
Structure: relaxed

Properties
Magnetic moment in Bohr magnetons per cell: 0.00
Raw formation energy in eV/atom: -1.165

Unit cell a=4.066 b=8.487 c=9.763 alpha=104.93 beta=90.00 gamma=90.00
Fractional positions:
Pt 0.250 0.675 0.149
Pt 0.750 0.325 0.851
Br 0.250 0.114 0.608
Br 0.750 0.886 0.392
Sm 0.750 0.438 0.155
Sm 0.750 0.903 0.104
Sm 0.250 0.097 0.896
Sm 0.250 0.562 0.845
Sm 0.750 0.304 0.501
Sm 0.250 0.696 0.499
Se 0.250 0.195 0.234
Se 0.750 0.805 0.766

Compound: YFe2Sb
Source: the Alexandria database
Functional: GGA-PBE
Structure: relaxed

Properties
Magnetic moment in Bohr magnetons per cell: 4.35
Raw formation energy in eV/atom: 0.274

Unit cell a=5.486 b=5.198 c=3.205 alpha=86.76 beta=74.61 gamma=117.21
Fractional positions:
Fe 0.000 0.000 0.000
Fe 0.000 0.500 0.500
Y 0.500 0.000 0.500
Sb 0.500 0.500 0.000

Compound: CaThIrPt
Source: the Alexandria database
Functional: GGA-PBE
Structure: relaxed

Properties
Magnetic moment in Bohr magnetons per cell: 0.00
Energy above the most stable polymorph in this dataset in meV per atom: 0
Formation enthalpy at 0 K in kcal/mol of atoms: -21.07

Unit cell a=3.945 b=4.226 c=5.898 alpha=90.00 beta=109.54 gamma=90.00
Fractional positions:
Ca 0.141 0.000 0.283
Ir 0.412 0.000 0.823
Pt 0.586 0.500 0.172
Th 0.861 0.500 0.722

Compound: La3Al2Au7
Source: the Alexandria database
Functional: GGA-PBE
Structure: relaxed

Properties
Magnetic moment in Bohr magnetons per cell: 0.00
Formation enthalpy at 0 K in kcal/mol of atoms: -14.33

Unit cell a=4.459 b=4.459 c=14.424 alpha=98.89 beta=98.89 gamma=90.00
Fractional positions:
Al 0.125 0.125 0.251
Al 0.875 0.875 0.749
La 0.326 0.326 0.652
La 0.674 0.674 0.348
La 0.500 0.500 0.000
Au 0.000 0.000 0.000
Au 0.784 0.784 0.568
Au 0.081 0.581 0.163
Au 0.419 0.919 0.837
Au 0.216 0.216 0.432
Au 0.919 0.419 0.837
Au 0.581 0.081 0.163

Compound: ScBeNi2Os
Source: the Alexandria database
Functional: GGA-PBE
Structure: relaxed

Properties
Magnetic moment in Bohr magnetons per cell: 1.12
Energy above the most stable polymorph in this dataset in meV per atom: 1705
Formation enthalpy at 0 K in kcal/mol of atoms: 37.21

Unit cell a=4.145 b=4.428 c=4.145 alpha=90.00 beta=90.00 gamma=90.00
Fractional positions:
Os 0.500 0.500 0.500
Ni 0.500 0.000 0.000
Ni 0.000 0.000 0.500
Be 0.000 0.500 0.000
Sc 0.000 0.000 0.000

Compound: DyMg4Pb
Source: the Alexandria database
Functional: GGA-PBE
Structure: relaxed

Properties
Magnetic moment in Bohr magnetons per cell: 0.00
Formation enthalpy at 0 K in kcal/mol of atoms: -0.47

Unit cell a=6.014 b=6.014 c=6.014 alpha=60.00 beta=60.00 gamma=60.00
Fractional positions:
Mg 0.125 0.625 0.625
Mg 0.625 0.625 0.125
Mg 0.625 0.625 0.625
Mg 0.625 0.125 0.625
Pb 0.000 0.000 0.000
Dy 0.250 0.250 0.250

Compound: ScSI2
Source: the Alexandria database
Functional: GGA-PBE
Structure: relaxed

Properties
Magnetic moment in Bohr magnetons per cell: 1.91
Raw formation energy in eV/atom: -0.840
Energy above the most stable polymorph in this dataset in meV per atom: 0

Unit cell a=10.732 b=10.732 c=7.977 alpha=47.73 beta=47.73 gamma=90.00
Fractional positions:
I 0.779 0.125 0.250
I 0.971 0.625 0.250
I 0.375 0.221 0.750
I 0.875 0.029 0.750
Sc 0.750 0.250 0.500
Sc 0.000 0.000 0.000
S 0.500 0.500 0.000
S 0.250 0.750 0.500

Compound: CaTl2Sb2
Source: the Alexandria database
Functional: GGA-PBE
Structure: relaxed

Properties
Magnetic moment in Bohr magnetons per cell: 0.00
Raw formation energy in eV/atom: -0.265
Energy above the most stable polymorph in this dataset in meV per atom: 49

Unit cell a=4.500 b=4.500 c=8.617 alpha=74.86 beta=74.86 gamma=90.00
Fractional positions:
Ca 0.000 0.000 0.000
Sb 0.411 0.411 0.179
Sb 0.589 0.589 0.821
Tl 0.250 0.750 0.500
Tl 0.750 0.250 0.500

Compound: TbSmMnCd
Source: the Alexandria database
Functional: GGA-PBE
Structure: relaxed

Properties
Magnetic moment in Bohr magnetons per cell: 3.22
Formation enthalpy at 0 K in kcal/mol of atoms: -0.10

Unit cell a=5.225 b=5.225 c=5.225 alpha=60.00 beta=60.00 gamma=60.00
Fractional positions:
Mn 0.250 0.250 0.250
Sm 0.000 0.000 0.000
Tb 0.500 0.500 0.500
Cd 0.750 0.750 0.750

Compound: TbPu
Source: the Alexandria database
Functional: GGA-PBE
Structure: relaxed

Properties
Magnetic moment in Bohr magnetons per cell: 6.47
Energy above the most stable polymorph in this dataset in meV per atom: 84
Formation enthalpy at 0 K in kcal/mol of atoms: 6.43

Unit cell a=3.890 b=3.890 c=3.890 alpha=90.00 beta=90.00 gamma=90.00
Fractional positions:
Pu 0.500 0.500 0.500
Tb 0.000 0.000 0.000

Compound: HfPIrS2
Source: the Alexandria database
Functional: GGA-PBE
Structure: relaxed

Properties
Magnetic moment in Bohr magnetons per cell: 0.00
Raw formation energy in eV/atom: 0.348
Energy above the most stable polymorph in this dataset in meV per atom: 0

Unit cell a=4.685 b=4.685 c=4.463 alpha=90.00 beta=90.00 gamma=90.00
Fractional positions:
S 0.000 0.500 0.000
S 0.500 0.000 0.000
Ir 0.000 0.000 0.000
Hf 0.500 0.500 0.500
P 0.000 0.000 0.500

Compound: Ba3Tl4Hg2Pb2
Source: the Alexandria database
Functional: GGA-PBE
Structure: relaxed

Properties
Magnetic moment in Bohr magnetons per cell: 0.00
Formation enthalpy at 0 K in kcal/mol of atoms: -7.62

Unit cell a=5.020 b=5.020 c=16.061 alpha=98.99 beta=98.99 gamma=90.00
Fractional positions:
Ba 0.199 0.199 0.397
Ba 0.000 0.000 0.000
Ba 0.801 0.801 0.603
Pb 0.549 0.549 0.097
Pb 0.451 0.451 0.903
Tl 0.113 0.613 0.225
Tl 0.887 0.387 0.775
Tl 0.387 0.887 0.775
Tl 0.613 0.113 0.225
Hg 0.314 0.314 0.628
Hg 0.686 0.686 0.372